No. 1
Here is a relaxed LiNp2TaN5 crystal from Alexandria via LeMat-Bulk. Energies are from PBE.

a = 3.2053 Å, b = 12.8095 Å, c = 10.0815 Å
α = 90.00°, β = 90.00°, γ = 90.00°
Closest atoms and distances in Å follow each position.
Space group Cmc2_1 (No. 36)
Asymmetric unit:
Li (0.0000, 0.0212, 0.0000) (multiplicity 4)  4 N 1.96-2.09
Np (0.0000, 0.3633, 0.8389) (multiplicity 4)  5 N 2.29-2.40
Np (0.0000, 0.3978, 0.2068) (multiplicity 4)  6 N 2.18-2.39
Ta (0.0000, 0.3025, 0.5425) (multiplicity 4)  6 N 2.01-2.22
N (0.0000, 0.0111, 0.3081) (multiplicity 4)  1 Li 1.98
N (0.0000, 0.1393, 0.5396) (multiplicity 4)  1 Ta 2.09, 1 Li 2.09
N (0.0000, 0.1902, 0.9065) (multiplicity 4)  2 Ta 2.11, 1 Np 2.32, 1 Li 2.36
N (0.0000, 0.2159, 0.1927) (multiplicity 4)  2 Ta 2.22, 3 Np 2.33-2.40
N (0.0000, 0.4512, 0.6063) (multiplicity 4)  2 Li 1.96, 1 Ta 2.01, 1 Np 2.18

Values from the calculation:
**ΔE_f (raw)**: -8.37 eV per formula unit

---

No. 2
Here is a relaxed PuTlCl2 crystal from Alexandria via LeMat-Bulk. Energies are from PBE.

a = 3.9261 Å, b = 3.9261 Å, c = 29.6808 Å
α = 90.00°, β = 90.00°, γ = 120.00°
Closest atoms and distances in Å follow each position.
Space group R-3m (No. 166, hexagonal axes)
Asymmetric unit:
Pu (0.0000, 0.0000, 0.0000) (multiplicity 3)  2 Cl 2.69
Tl (0.0000, 0.0000, 0.5000) (multiplicity 3)  6 Cl 3.20
Cl (0.0000, 0.0000, 0.0905) (multiplicity 6)  1 Pu 2.69

Values from the calculation:
**ΔE_f (raw)**: -3.35 eV per formula unit

---

No. 3
Here is a relaxed ScRe2As crystal from Alexandria via LeMat-Bulk. Energies are from PBE.

a = 3.0161 Å, b = 3.0161 Å, c = 7.4633 Å
α = 90.00°, β = 90.00°, γ = 90.00°
Closest atoms and distances in Å follow each position.
Space group P4mm (No. 99)
Asymmetric unit:
Sc (0.0000, 0.0000, 0.0000) (multiplicity 1)  4 Re 2.87, 4 Sc 3.02, 4 As 3.15
Re (0.0000, 0.0000, 0.5225) (multiplicity 1)  4 As 2.66, 4 Re 2.69
Re (0.5000, 0.5000, 0.7422) (multiplicity 1)  4 Re 2.69, 4 Sc 2.87
As (0.5000, 0.5000, 0.3102) (multiplicity 1)  4 Re 2.66

Values from the calculation:
**ΔE_f**: -0.15 eV/atom

---

No. 4
Here is a relaxed HfB3Te crystal from Alexandria via LeMat-Bulk. Energies are from PBE.

a = 4.5196 Å, b = 4.5196 Å, c = 4.5196 Å
α = 90.00°, β = 90.00°, γ = 90.00°
Closest atoms and distances in Å follow each position.
Space group Pm-3m (No. 221)
Asymmetric unit:
Hf (0.0000, 0.0000, 0.0000) (multiplicity 1)  6 B 2.26
B (0.0000, 0.0000, 0.5000) (multiplicity 3)  2 Hf 2.26
Te (0.5000, 0.5000, 0.5000) (multiplicity 1)  12 B 3.20

Values from the calculation:
**ΔE_f (raw)**: 8.59 eV per formula unit